(1)
A plane-wave DFT calculation with GGA-PBE was carried out for crystalline K2Np2Cl2O5 at its relaxed geometry.

Unit cell a=4.233 b=4.233 c=13.107 alpha=99.29 beta=99.29 gamma=90.00
Fractional coordinates of all 11 atoms:
Np (0.919, 0.919, 0.838)
O (0.000, 0.000, 0.000)
O (0.590, 0.090, 0.180)
O (0.410, 0.910, 0.820)
O (0.910, 0.410, 0.820)
Cl (0.194, 0.194, 0.388)
K (0.326, 0.326, 0.652)
K (0.674, 0.674, 0.348)
O (0.090, 0.590, 0.180)
Np (0.081, 0.081, 0.162)
Cl (0.806, 0.806, 0.612)

Summary:
total magnetization: 0.364 μB per atom
energy relative to the elements, uncorrected: -2495 meV/atom
crystal system: tetragonal

=====

(2)
A plane-wave DFT calculation with GGA-PBE was carried out for crystalline LiTe2AsN at its relaxed geometry.

Unit cell a=5.873 b=5.873 c=3.551 alpha=90.00 beta=90.00 gamma=90.00
Fractional coordinates of all 5 atoms:
N (0.000, 0.000, 0.500)
Te (0.000, 0.500, 0.000)
Li (0.500, 0.500, 0.500)
As (0.000, 0.000, 0.000)
Te (0.500, 0.000, 0.000)

Summary:
total magnetization: 0.000 μB per atom
distance to the lowest polymorph of the same formula: 0.000 eV/atom
energy relative to the elements, uncorrected: 451 meV/atom
crystal system: tetragonal

=====

(3)
A plane-wave DFT calculation with GGA-PBE was carried out for crystalline Pr3Zn6CdAu2 at its relaxed geometry.

Unit cell a=5.649 b=5.649 c=9.544 alpha=90.00 beta=90.00 gamma=120.00
Fractional coordinates of all 12 atoms:
Zn (0.175, 0.825, 0.262)
Cd (0.000, 0.000, 0.500)
Zn (0.350, 0.175, 0.738)
Au (0.667, 0.333, 0.979)
Au (0.333, 0.667, 0.021)
Pr (0.000, 0.000, 0.000)
Zn (0.650, 0.825, 0.262)
Pr (0.667, 0.333, 0.397)
Zn (0.825, 0.175, 0.738)
Zn (0.825, 0.650, 0.738)
Zn (0.175, 0.350, 0.262)
Pr (0.333, 0.667, 0.603)

Summary:
total magnetization: 0.000 μB per atom
formation enthalpy at 0 K: -0.230 eV per atom
crystal system: trigonal

=====

(4)
A plane-wave DFT calculation with GGA-PBE was carried out for crystalline NdBi2Pd9 at its relaxed geometry.

Unit cell a=5.382 b=5.382 c=9.639 alpha=73.79 beta=73.79 gamma=60.00
Fractional coordinates of all 12 atoms:
Bi (0.868, 0.868, 0.395)
Pd (0.584, 0.082, 0.749)
Pd (0.584, 0.584, 0.749)
Pd (0.416, 0.918, 0.251)
Pd (0.082, 0.584, 0.749)
Bi (0.132, 0.132, 0.605)
Nd (0.000, 0.000, 0.000)
Pd (0.918, 0.416, 0.251)
Pd (0.667, 0.667, 0.000)
Pd (0.500, 0.500, 0.500)
Pd (0.416, 0.416, 0.251)
Pd (0.333, 0.333, 0.000)

Summary:
total magnetization: 0.000 μB per atom
formation enthalpy at 0 K: -0.323 eV per atom
distance to the lowest polymorph of the same formula: 0.090 eV/atom
crystal system: trigonal

=====

Repeat the fourth record exactly.
A plane-wave DFT calculation with GGA-PBE was carried out for crystalline NdBi2Pd9 at its relaxed geometry.

Unit cell a=5.382 b=5.382 c=9.639 alpha=73.79 beta=73.79 gamma=60.00
Fractional coordinates of all 12 atoms:
Bi (0.868, 0.868, 0.395)
Pd (0.584, 0.082, 0.749)
Pd (0.584, 0.584, 0.749)
Pd (0.416, 0.918, 0.251)
Pd (0.082, 0.584, 0.749)
Bi (0.132, 0.132, 0.605)
Nd (0.000, 0.000, 0.000)
Pd (0.918, 0.416, 0.251)
Pd (0.667, 0.667, 0.000)
Pd (0.500, 0.500, 0.500)
Pd (0.416, 0.416, 0.251)
Pd (0.333, 0.333, 0.000)

Summary:
total magnetization: 0.000 μB per atom
formation enthalpy at 0 K: -0.323 eV per atom
distance to the lowest polymorph of the same formula: 0.090 eV/atom
crystal system: trigonal